Computed, not measured: a geometry-optimized AcGa2Ag4 structure at the GGA-PBE level of DFT.

extended XYZ file:
```
7
Lattice="2.3079 -6.9676 0.0000 2.3079 6.9676 0.0000 0.0000 0.0000 4.6330" Properties=species:S:1:pos:R:3 pbc="T T T"
Ac 0.0000 0.0000 0.0000
Ga 2.3079 1.2637 2.3165
Ga 2.3079 -1.2637 2.3165
Ag 2.3079 4.3654 2.3165
Ag 2.3079 2.5880 0.0000
Ag 2.3079 -2.5880 0.0000
Ag 2.3079 -4.3654 2.3165
```

## Properties
ΔH_f (0 K) in eV per atom: -0.273
SG: Cmmm (65)
DOS(E_F) in states/eV/f.u.: 3.2
E in eV per atom: -3.3539
Mass density in g cm⁻³: 8.9